VASP calculation (GGA-PBE) on BaScGeF2 after structural relaxation.

```
data_BaScGeF2
_chemical_formula_sum 'Ba1 Sc1 Ge1 F2'
_symmetry_space_group_name_H-M 'P 4/m m m'
_symmetry_Int_Tables_number 123
_symmetry_space_group_name_Hall '-P 4 2'
_cell_length_a 4.245
_cell_length_b 4.245
_cell_length_c 8.437
_cell_angle_alpha 90.00
_cell_angle_beta 90.00
_cell_angle_gamma 90.00
loop_
_atom_site_label
_atom_site_type_symbol
_atom_site_fract_x
_atom_site_fract_y
_atom_site_fract_z
Ba1 Ba 0.000 0.000 0.000
Sc1 Sc 0.000 0.000 0.500
Ge1 Ge 0.500 0.500 0.000
F1 F 0.000 0.500 0.500
```

## Properties
Formation energy from raw total energies (eV/atom): -1.679